FeCuO2 (PBE+U, relaxed); total moment = 1.2500 μB/atom; VASP energy = -23.38 eV per formula unit
1.0
-2.2964 2.2964 4.6329
2.2964 -2.2964 4.6329
2.2964 2.2964 -4.6329
Fe Cu O
2 2 4
Cartesian
0.0000 0.0000 0.0000
0.0000 2.2964 2.3164
2.2964 0.0000 2.3164
0.0000 0.0000 4.6329
3.4445 1.0393 -1.1582
1.0393 1.1482 1.1582
-1.1482 1.2570 3.4747
1.2570 1.1482 5.7911